# 1
DFT (SCAN) results for a crystal of Sr2WCl relaxed with PBEsol.

Output
Spin magnetization, μB per atom: 0.00
Calculated volume, Å³/cell: 100.50
Offset from the most stable computed form, meV/atom: 0
VASP energy, eV/cell: -121.191

Cell lengths 5.6662, 5.6662, 3.1302 Å; angles 90.00, 90.00, 90.00 degrees
Last column: nearest neighbours and their distance in Å.
Space group P4/mmm (No. 123)
Symmetry-distinct sites (fractional):
Sr (0.0000, 0.5000, 0.0000) x2  2 Sr 3.13, 4 Cl 3.24, 4 W 3.24
W (0.0000, 0.0000, 0.5000) x1  2 W 3.13, 8 Sr 3.24
Cl (0.5000, 0.5000, 0.5000) x1  2 Cl 3.13, 8 Sr 3.24



# 2
DFT (SCAN) results for a crystal of SrWCl2 relaxed with PBEsol.

Output
Spin magnetization, μB per atom: 0.00
Calculated volume, Å³/cell: 86.71
VASP energy, eV/cell: -109.061

Cell lengths 3.1773, 3.1773, 8.5894 Å; angles 90.00, 90.00, 90.00 degrees
Last column: nearest neighbours and their distance in Å.
Space group P4mm (No. 99)
Symmetry-distinct sites (fractional):
Sr (0.0000, 0.0000, 0.0000) x1  4 Cl 2.85, 4 Sr 3.18
W (0.5000, 0.5000, 0.3020) x1  4 Cl 2.56
Cl (0.0000, 0.0000, 0.4456) x1  4 W 2.56
Cl (0.5000, 0.5000, 0.7964) x1  4 Sr 2.85, 4 Cl 3.18



# 3
DFT (SCAN) results for a crystal of SrY2Cl relaxed with PBEsol.

Output
Spin magnetization, μB per atom: 0.00
Calculated volume, Å³/cell: 266.39
VASP energy, eV/cell: -172.976

Cell lengths 6.0359, 12.3210, 3.5821 Å; angles 90.00, 90.00, 90.00 degrees
Last column: nearest neighbours and their distance in Å.
Space group Cmmm (No. 65)
Symmetry-distinct sites (fractional):
Sr (0.0000, 0.0000, 0.0000) x2  2 Cl 3.02
Y (0.2500, 0.2500, 0.5000) x4  2 Y 3.02
Cl (0.0000, 0.5000, 0.0000) x2  2 Sr 3.02



# 4
DFT (SCAN) results for a crystal of SrYCl4 relaxed with PBEsol.

Output
Spin magnetization, μB per atom: 0.16
Calculated volume, Å³/cell: 587.78
VASP energy, eV/cell: -348.167

Cell lengths 8.3767, 8.3767, 8.3767 Å; angles 90.00, 90.00, 90.00 degrees
Last column: nearest neighbours and their distance in Å.
Space group F-43m (No. 216)
Symmetry-distinct sites (fractional):
Sr (0.0000, 0.0000, 0.0000) x4  12 Cl 3.47, 4 Y 3.63
Y (0.2500, 0.2500, 0.2500) x4  12 Cl 3.47, 4 Sr 3.63
Cl (0.1247, 0.1247, 0.6247) x16  6 Cl 2.96-2.97



# 5
DFT (SCAN) results for a crystal of Sr2Y2Cl relaxed with PBEsol.

Output
Spin magnetization, μB per atom: 0.33
Calculated volume, Å³/cell: 361.60
VASP energy, eV/cell: -212.922

Cell lengths 4.3401, 4.3401, 19.1966 Å; angles 90.00, 90.00, 90.00 degrees
Last column: nearest neighbours and their distance in Å.
Space group I4/mmm (No. 139)
Symmetry-distinct sites (fractional):
Sr (0.0000, 0.5000, 0.2500) x4  4 Sr 3.07
Y (0.0000, 0.0000, 0.0904) x4  1 Y 3.47, 4 Cl 3.53, 4 Sr 3.75
Cl (0.0000, 0.0000, 0.5000) x2  8 Y 3.53



# 6
DFT (SCAN) results for a crystal of SrZnCl2 relaxed with PBEsol.

Output
Spin magnetization, μB per atom: 0.00
Calculated volume, Å³/cell: 377.90
Offset from the most stable computed form, meV/atom: 88
VASP energy, eV/cell: -232.430

Cell lengths 7.2298, 7.2298, 7.2298 Å; angles 90.00, 90.00, 90.00 degrees
Last column: nearest neighbours and their distance in Å.
Space group Fm-3m (No. 225)
Symmetry-distinct sites (fractional):
Sr (0.0000, 0.0000, 0.0000) x4  8 Cl 3.13
Zn (0.0000, 0.0000, 0.5000) x4  8 Cl 3.13
Cl (0.2500, 0.2500, 0.2500) x8  4 Sr 3.13, 4 Zn 3.13



> The highest VASP energy belongs to which entry?

SrWCl2



Copy entry 3 word for word.
DFT (SCAN) results for a crystal of SrY2Cl relaxed with PBEsol.

Output
Spin magnetization, μB per atom: 0.00
Calculated volume, Å³/cell: 266.39
VASP energy, eV/cell: -172.976

Cell lengths 6.0359, 12.3210, 3.5821 Å; angles 90.00, 90.00, 90.00 degrees
Last column: nearest neighbours and their distance in Å.
Space group Cmmm (No. 65)
Symmetry-distinct sites (fractional):
Sr (0.0000, 0.0000, 0.0000) x2  2 Cl 3.02
Y (0.2500, 0.2500, 0.5000) x4  2 Y 3.02
Cl (0.0000, 0.5000, 0.0000) x2  2 Sr 3.02